1.
Here is ScCu2Sb after structural relaxation from Alexandria via LeMat-Bulk. Energies are from GGA-PBE.

Structure (extended XYZ):
```
4
Lattice="3.283 0.011 0.000 -0.030 3.283 0.000 0.000 0.000 6.635" Properties=species:S:1:pos:R:3 pbc="T T T"
Cu 0.000 0.000 0.258
Cu 1.626 1.647 1.350
Sb 0.000 0.000 3.128
Sc 1.626 1.647 5.216
```

Calculated values
Calculated total energy, Ha/atom: -0.176
E_form (uncorrected), meV/atom: -127

2.
Here is Sc4CuSb after structural relaxation from Alexandria via LeMat-Bulk. Energies are from GGA-PBE.

Structure (extended XYZ):
```
6
Lattice="1.697 -0.059 5.517 -0.296 4.820 3.163 -3.906 0.443 4.226" Properties=species:S:1:pos:R:3 pbc="T T T"
Sc -0.088 1.920 7.601
Sc -2.896 2.172 6.954
Sc -1.087 4.365 6.421
Sc -0.939 1.950 4.836
Cu -1.879 3.903 9.679
Sb 0.000 0.000 0.000
```

Calculated values
Calculated total energy, Ha/atom: -0.197
E_form (uncorrected), meV/atom: 234

3.
Here is ScCuSb3 after structural relaxation from Alexandria via LeMat-Bulk. Energies are from GGA-PBE.

Structure (extended XYZ):
```
5
Lattice="-3.437 -3.741 -0.258 2.208 -2.303 3.962 -3.030 2.565 3.180" Properties=species:S:1:pos:R:3 pbc="T T T"
Sc -2.130 -1.739 3.442
Sb 1.104 -1.151 1.981
Sb -1.515 1.283 1.590
Sb -1.719 -1.870 -0.129
Cu 0.000 0.000 0.000
```

Calculated values
Excess energy over the best structure of this formula in the dataset, eV per formula unit: 0.000
Calculated total energy, Ha/atom: -0.159
E_form (uncorrected), meV/atom: 243

4.
Here is ScCuSb3 after structural relaxation from Alexandria via LeMat-Bulk. Energies are from GGA-PBE.

Structure (extended XYZ):
```
5
Lattice="-3.554 -0.488 4.066 -3.188 -3.049 -3.152 2.570 -4.457 1.712" Properties=species:S:1:pos:R:3 pbc="T T T"
Sc 0.000 0.000 0.000
Sb -1.594 -1.525 -1.576
Sb 1.285 -2.228 0.856
Sb -1.777 -0.244 2.033
Cu -2.086 -3.997 1.313
```

Calculated values
Excess energy over the best structure of this formula in the dataset, eV per formula unit: 1.485
Calculated total energy, Ha/atom: -0.148
E_form (uncorrected), meV/atom: 540

5.
Here is ScCuSb after structural relaxation from Alexandria via LeMat-Bulk. Energies are from GGA-PBE.

Structure (extended XYZ):
```
3
Lattice="-3.307 -0.020 4.659 1.400 -0.463 5.520 1.151 2.631 -4.939" Properties=species:S:1:pos:R:3 pbc="T T T"
Cu -0.005 -0.001 0.026
Sb -0.664 -0.168 3.546
Sc -1.238 -0.314 6.607
```

Calculated values
Calculated total energy, Ha/atom: -0.187
E_form (uncorrected), meV/atom: -243

6.
Here is Sc2CuSb after structural relaxation from Alexandria via LeMat-Bulk. Energies are from GGA-PBE.

Structure (extended XYZ):
```
4
Lattice="4.029 0.000 0.000 0.000 3.945 -0.003 0.000 1.975 5.288" Properties=species:S:1:pos:R:3 pbc="T T T"
Sc 0.000 5.672 4.921
Sc 2.015 1.726 1.805
Sb 2.015 3.699 4.121
Cu 0.000 3.703 2.366
```

Calculated values
Calculated total energy, Ha/atom: -0.213
E_form (uncorrected), meV/atom: -565

7.
Here is ScCu2Sb after structural relaxation from Alexandria via LeMat-Bulk. Energies are from GGA-PBE.

Structure (extended XYZ):
```
4
Lattice="3.545 0.000 0.000 0.000 3.545 0.000 0.000 0.000 5.723" Properties=species:S:1:pos:R:3 pbc="T T T"
Cu 0.000 0.000 5.639
Cu 0.000 0.000 2.945
Sb 1.772 1.772 1.431
Sc 1.772 1.772 4.292
```

Calculated values
Calculated total energy, Ha/atom: -0.178
E_form (uncorrected), meV/atom: -172

8.
Here is Sc2CuSb after structural relaxation from Alexandria via LeMat-Bulk. Energies are from GGA-PBE.

Structure (extended XYZ):
```
4
Lattice="5.115 0.027 0.000 1.259 4.958 0.000 -3.187 -2.492 3.130" Properties=species:S:1:pos:R:3 pbc="T T T"
Cu 0.629 2.479 1.565
Sb 2.557 0.014 1.565
Sc 0.000 0.000 0.000
Sc 3.187 2.492 0.000
```

Calculated values
Calculated total energy, Ha/atom: -0.209
E_form (uncorrected), meV/atom: -473

9.
Here is Sc2CuSb after structural relaxation from Alexandria via LeMat-Bulk. Energies are from GGA-PBE.

Structure (extended XYZ):
```
4
Lattice="2.503 8.520 5.576 5.308 8.033 4.153 3.030 9.680 2.659" Properties=species:S:1:pos:R:3 pbc="T T T"
Sc 9.908 23.972 11.321
Sc 0.934 2.260 1.067
Sb 5.421 13.116 6.194
Cu 0.000 0.000 0.000
```

Calculated values
Calculated total energy, Ha/atom: -0.184
E_form (uncorrected), meV/atom: 214

10.
Here is ScCu2Sb after structural relaxation from Alexandria via LeMat-Bulk. Energies are from GGA-PBE.

Structure (extended XYZ):
```
4
Lattice="5.640 -0.001 0.001 -2.783 4.906 0.001 0.789 1.355 2.660" Properties=species:S:1:pos:R:3 pbc="T T T"
Cu 0.000 0.000 0.000
Cu 1.429 2.452 0.001
Sb 3.215 0.677 1.331
Sc -0.997 3.130 1.331
```

Calculated values
Calculated total energy, Ha/atom: -0.171
E_form (uncorrected), meV/atom: -1

11.
Here is Sc2CuSb after structural relaxation from Alexandria via LeMat-Bulk. Energies are from GGA-PBE.

Structure (extended XYZ):
```
4
Lattice="5.697 0.006 0.000 2.782 4.971 0.000 -4.240 -2.489 2.878" Properties=species:S:1:pos:R:3 pbc="T T T"
Cu 4.240 2.489 0.000
Sb 2.848 0.003 1.439
Sc 0.000 0.000 0.000
Sc 1.391 2.485 1.439
```

Calculated values
Calculated total energy, Ha/atom: -0.208
E_form (uncorrected), meV/atom: -445

12.
Here is ScCuSb after structural relaxation from Alexandria via LeMat-Bulk. Energies are from GGA-PBE.

Structure (extended XYZ):
```
6
Lattice="3.240 0.000 0.000 0.000 4.027 0.000 0.000 2.014 10.350" Properties=species:S:1:pos:R:3 pbc="T T T"
Sc 0.810 2.014 7.190
Sc 2.430 4.027 3.160
Sb 0.810 2.014 1.725
Sb 2.430 4.027 8.624
Cu 2.430 4.027 5.793
Cu 0.810 2.014 4.557
```

Calculated values
Calculated total energy, Ha/atom: -0.190
E_form (uncorrected), meV/atom: -324

13.
Here is ScCu2Sb2 after structural relaxation from Alexandria via LeMat-Bulk. Energies are from GGA-PBE.

Structure (extended XYZ):
```
10
Lattice="7.412 0.000 0.000 0.000 7.412 0.000 0.000 0.000 3.499" Properties=species:S:1:pos:R:3 pbc="T T T"
Sc 0.000 0.000 0.000
Sc 3.706 3.706 0.000
Sb 1.352 5.058 1.750
Sb 5.058 6.060 1.750
Sb 6.060 2.354 1.750
Sb 2.354 1.352 1.750
Cu 2.846 6.552 0.000
Cu 6.552 4.566 0.000
Cu 4.566 0.860 0.000
Cu 0.860 2.846 0.000
```

Calculated values
Excess energy over the best structure of this formula in the dataset, eV per formula unit: 0.040
Calculated total energy, Ha/atom: -0.175
E_form (uncorrected), meV/atom: -198

14.
Here is ScCuSb4 after structural relaxation from Alexandria via LeMat-Bulk. Energies are from GGA-PBE.

Structure (extended XYZ):
```
6
Lattice="-2.807 4.207 3.427 -2.100 5.128 -2.570 -6.017 0.887 -0.572" Properties=species:S:1:pos:R:3 pbc="T T T"
Sc -8.193 7.667 0.213
Cu 0.000 0.000 0.000
Sb -5.500 5.940 1.827
Sb -7.112 4.273 -0.181
Sb -5.145 6.403 -1.185
Sb -4.090 3.828 0.106
```

Calculated values
Calculated total energy, Ha/atom: -0.151
E_form (uncorrected), meV/atom: 375

15.
Here is Sc2CuSb after structural relaxation from Alexandria via LeMat-Bulk. Energies are from GGA-PBE.

Structure (extended XYZ):
```
4
Lattice="-4.353 1.250 -0.047 -0.507 -1.608 4.199 0.991 3.507 1.463" Properties=species:S:1:pos:R:3 pbc="T T T"
Cu -1.681 2.378 0.708
Sb 0.242 0.949 2.831
Sc 0.000 0.000 0.000
Sc -2.430 -0.179 2.076
```

Calculated values
Calculated total energy, Ha/atom: -0.209
E_form (uncorrected), meV/atom: -478

16.
Here is Sc2CuSb after structural relaxation from Alexandria via LeMat-Bulk. Energies are from GGA-PBE.

Structure (extended XYZ):
```
4
Lattice="-2.424 2.045 -1.079 -0.843 -2.237 -2.346 -4.874 -3.229 4.831" Properties=species:S:1:pos:R:3 pbc="T T T"
Cu -2.404 -1.593 2.383
Sb -5.114 -2.402 1.738
Sc -4.849 -3.213 4.806
Sc -3.085 -1.058 -0.274
```

Calculated values
Calculated total energy, Ha/atom: -0.199
E_form (uncorrected), meV/atom: -204

17.
Here is ScCu2Sb2 after structural relaxation from Alexandria via LeMat-Bulk. Energies are from GGA-PBE.

Structure (extended XYZ):
```
5
Lattice="3.769 0.000 0.000 0.000 3.769 0.000 1.884 1.884 7.086" Properties=species:S:1:pos:R:3 pbc="T T T"
Sc 0.000 0.000 0.000
Sb 1.884 1.884 1.616
Sb 3.769 3.769 5.471
Cu 3.769 1.884 3.543
Cu 1.884 3.769 3.543
```

Calculated values
Excess energy over the best structure of this formula in the dataset, eV per formula unit: 0.000
Calculated total energy, Ha/atom: -0.175
E_form (uncorrected), meV/atom: -206

18.
Here is ScCu2Sb after structural relaxation from Alexandria via LeMat-Bulk. Energies are from GGA-PBE.

Structure (extended XYZ):
```
4
Lattice="5.205 0.018 0.000 2.070 4.776 0.000 -3.637 -2.397 2.849" Properties=species:S:1:pos:R:3 pbc="T T T"
Cu 0.000 0.000 0.000
Cu 1.035 2.388 1.425
Sb 3.637 2.397 0.000
Sc 2.602 0.009 1.425
```

Calculated values
Calculated total energy, Ha/atom: -0.177
E_form (uncorrected), meV/atom: -156

19.
Here is Sc2CuSb after structural relaxation from Alexandria via LeMat-Bulk. Energies are from GGA-PBE.

Structure (extended XYZ):
```
4
Lattice="9.393 -0.005 -0.003 8.804 3.275 -0.003 8.804 1.582 2.867" Properties=species:S:1:pos:R:3 pbc="T T T"
Cu 13.509 2.427 1.431
Sb 20.468 3.678 2.169
Sc 0.049 0.009 0.005
Sc 6.476 1.163 0.686
```

Calculated values
Calculated total energy, Ha/atom: -0.193
E_form (uncorrected), meV/atom: -29

20.
Here is ScCu2Sb after structural relaxation from Alexandria via LeMat-Bulk. Energies are from GGA-PBE.

Structure (extended XYZ):
```
4
Lattice="-2.192 -2.496 3.234 -1.108 -4.422 -0.841 2.235 -3.410 2.206" Properties=species:S:1:pos:R:3 pbc="T T T"
Cu 0.000 0.000 0.000
Cu -0.266 -2.582 1.150
Sb -0.533 -5.164 2.299
Sc -0.799 -7.746 3.449
```

Calculated values
Calculated total energy, Ha/atom: -0.177
E_form (uncorrected), meV/atom: -152